# 1
# MoSI

A relaxed structure of MoSI (PBE, Alexandria).

Summary:
Volume (Å³ per cell): 164.09
E_form (uncorrected) (eV per atom): -0.503

Unit cell a=3.5270 b=6.2408 c=7.4587 alpha=91.89 beta=90.00 gamma=90.00
Last column: nearest neighbours and their distance in Å.
Atoms (fractional coordinates):
Mo  0.7500  0.1656  0.0144  3 S 2.34-2.41
Mo  0.2500  0.8344  0.9856  3 S 2.34-2.41
S  0.7500  0.9124  0.7768  3 Mo 2.34-2.41
S  0.2500  0.0876  0.2232  3 Mo 2.34-2.41
I  0.7500  0.5798  0.2149  3 Mo 2.94-2.96
I  0.2500  0.4202  0.7851  3 Mo 2.94-2.96

# 2
# SrTb2Pd

A relaxed structure of SrTb2Pd (PBE, Alexandria).

Summary:
Volume (Å³ per cell): 142.52
Energy of formation from the pure elements (eV/atom): -0.302
Energy above the lowest structure with this stoichiometry (meV/atom): 6

Unit cell a=4.1901 b=4.1901 c=9.6808 alpha=77.50 beta=77.50 gamma=60.00
Last column: nearest neighbours and their distance in Å.
Atoms (fractional coordinates):
Sr  0.5011  0.5011  0.4967  6 Tb 4.00-4.07, 6 Sr 4.19
Tb  0.0513  0.0513  0.8460  3 Pd 2.82
Tb  0.2813  0.2813  0.1562  3 Pd 2.82
Pd  0.6663  0.6663  0.0010  6 Tb 2.82

# 3
# Re2NiBAu

A relaxed structure of Re2NiBAu (PBE, Alexandria).

Summary:
Volume (Å³ per cell): 74.84
Energy of formation from the pure elements (eV/atom): 1.471

Unit cell a=4.6046 b=3.5300 c=4.6046 alpha=90.00 beta=90.00 gamma=90.00
Last column: nearest neighbours and their distance in Å.
Atoms (fractional coordinates):
Re  0.0000  0.0000  0.5000  2 Ni 2.30
Re  0.5000  0.0000  0.0000  2 Ni 2.30
B  0.0000  0.5000  0.0000  2 Ni 1.76
Au  0.5000  0.5000  0.5000  8 Re 2.90
Ni  0.0000  0.0000  0.0000  2 B 1.76

# 4
# SmGaAg2

A relaxed structure of SmGaAg2 (PBE, Alexandria).

Summary:
Volume (Å³ per cell): 83.25
Energy of formation from the pure elements (eV/atom): -0.296
Energy above the lowest structure with this stoichiometry (meV/atom): 31

Unit cell a=4.9013 b=4.9013 c=4.9013 alpha=60.00 beta=60.00 gamma=60.00
Last column: nearest neighbours and their distance in Å.
Atoms (fractional coordinates):
Ga  0.0000  0.0000  0.0000  8 Ag 3.00
Ag  0.2500  0.2500  0.2500  4 Ga 3.00, 4 Sm 3.00
Ag  0.7500  0.7500  0.7500  4 Sm 3.00, 4 Ga 3.00
Sm  0.5000  0.5000  0.5000  8 Ag 3.00

# 5
# CaTc2Pb

A relaxed structure of CaTc2Pb (PBE, Alexandria).

Summary:
Volume (Å³ per cell): 78.24
Energy of formation from the pure elements (eV/atom): 0.731

Unit cell a=5.5132 b=5.5132 c=5.5132 alpha=141.80 beta=130.10 gamma=64.54
Last column: nearest neighbours and their distance in Å.
Atoms (fractional coordinates):
Pb  0.7500  0.2500  0.5000  4 Tc 2.91, 4 Ca 2.94
Ca  0.2500  0.7500  0.5000  4 Pb 2.94, 8 Tc 2.99-3.26
Tc  0.9946  0.9946  0.0000  2 Pb 2.91, 4 Tc 2.95, 2 Ca 2.99
Tc  0.5054  0.5054  0.0000  2 Pb 2.91, 4 Tc 2.95, 2 Ca 2.99

# 6
# La2NpP

A relaxed structure of La2NpP (PBE, Alexandria).

Summary:
Volume (Å³ per cell): 128.37
Energy of formation from the pure elements (eV/atom): -0.111

Unit cell a=3.8242 b=3.8242 c=10.3732 alpha=79.38 beta=79.38 gamma=60.00
Last column: nearest neighbours and their distance in Å.
Atoms (fractional coordinates):
Np  0.0000  0.0000  0.0000  2 La 3.29
P  0.5000  0.5000  0.5000  6 La 2.84
La  0.1081  0.1081  0.6758  3 P 2.84
La  0.8919  0.8919  0.3242  3 P 2.84

# 7
# ErLuHgPb

A relaxed structure of ErLuHgPb (PBE, Alexandria).

Summary:
Volume (Å³ per cell): 103.85
Energy of formation from the pure elements (eV/atom): -0.391

Unit cell a=5.2761 b=5.2761 c=5.2761 alpha=60.00 beta=60.00 gamma=60.00
Last column: nearest neighbours and their distance in Å.
Atoms (fractional coordinates):
Pb  0.2500  0.2500  0.2500  4 Er 3.23, 4 Lu 3.23
Lu  0.5000  0.5000  0.5000  4 Pb 3.23, 4 Hg 3.23
Hg  0.7500  0.7500  0.7500  4 Lu 3.23, 4 Er 3.23
Er  0.0000  0.0000  0.0000  4 Hg 3.23, 4 Pb 3.23

# 8
# AcSc2Ta

A relaxed structure of AcSc2Ta (PBE, Alexandria).

Summary:
Volume (Å³ per cell): 106.53
Energy of formation from the pure elements (eV/atom): 0.424

Unit cell a=3.2792 b=3.2792 c=11.5953 alpha=81.87 beta=81.87 gamma=60.00
Last column: nearest neighbours and their distance in Å.
Atoms (fractional coordinates):
Sc  0.0984  0.0984  0.7048  3 Ta 3.01, 6 Sc 3.28
Sc  0.9016  0.9016  0.2952  3 Ta 3.01, 6 Sc 3.28
Ac  0.0000  0.0000  0.0000  6 Ac 3.28, 2 Sc 3.38
Ta  0.5000  0.5000  0.5000  6 Sc 3.01, 6 Ta 3.28

# 9
# CsHS2Cl

A relaxed structure of CsHS2Cl (PBE, Alexandria).

Summary:
Volume (Å³ per cell): 208.27
Energy above the lowest structure with this stoichiometry (meV/atom): 1038

Unit cell a=5.7342 b=5.7342 c=6.3341 alpha=90.00 beta=90.00 gamma=90.00
Last column: nearest neighbours and their distance in Å.
Atoms (fractional coordinates):
Cs  0.0000  0.0000  0.0000  4 S 2.87, 2 Cl 3.17
H  0.5000  0.5000  0.5000  4 Cl 4.05, 8 S 4.27
S  0.0000  0.5000  0.0000  2 Cs 2.87
S  0.5000  0.0000  0.0000  2 Cs 2.87
Cl  0.0000  0.0000  0.5000  2 Cs 3.17

# 10
# Pm2NpWN6

A relaxed structure of Pm2NpWN6 (PBE, Alexandria).

Summary:
Volume (Å³ per cell): 143.25
E_form (uncorrected) (eV per atom): -0.987

Unit cell a=4.3792 b=5.7193 c=5.7193 alpha=90.00 beta=90.00 gamma=90.00
Last column: nearest neighbours and their distance in Å.
Atoms (fractional coordinates):
Pm  0.0419  0.5000  0.0000  4 N 2.51
Pm  0.0419  0.0000  0.5000  4 N 2.51
Np  0.6340  0.5000  0.5000  6 N 2.11-2.27
W  0.5913  0.0000  0.0000  5 N 1.81-2.01
N  0.7023  0.2413  0.2413  1 W 2.01, 1 Np 2.11
N  0.7023  0.2413  0.7587  1 W 2.01, 1 Np 2.11
N  0.1515  0.5000  0.5000  2 Np 2.11-2.27
N  0.1771  0.0000  0.0000  1 W 1.81
N  0.7023  0.7587  0.7587  1 W 2.01, 1 Np 2.11
N  0.7023  0.7587  0.2413  1 W 2.01, 1 Np 2.11

# 11
# InSiNi2

A relaxed structure of InSiNi2 (PBE, Alexandria).

Summary:
Volume (Å³ per cell): 55.11
E_form (uncorrected) (eV per atom): -0.029

Unit cell a=4.8360 b=4.8360 c=4.8360 alpha=135.32 beta=135.32 gamma=65.03
Last column: nearest neighbours and their distance in Å.
Atoms (fractional coordinates):
In  0.7500  0.2500  0.5000  8 Ni 2.60-2.75, 4 Si 2.75
Ni  0.0000  0.0000  0.0000  4 Si 2.60, 4 Ni 2.75, 4 In 2.75
Ni  0.2500  0.7500  0.5000  4 In 2.60, 4 Ni 2.75, 4 Si 2.75
Si  0.5000  0.5000  0.0000  8 Ni 2.60-2.75, 4 In 2.75

# 12
# Te2IN2

A relaxed structure of Te2IN2 (PBE, Alexandria).

Summary:
Volume (Å³ per cell): 148.75
Energy above the lowest structure with this stoichiometry (meV/atom): 1951
E_form (uncorrected) (eV per atom): 2.258

Unit cell a=6.1915 b=6.1915 c=3.8804 alpha=90.00 beta=90.00 gamma=90.00
Last column: nearest neighbours and their distance in Å.
Atoms (fractional coordinates):
I  0.0000  0.0000  0.0000  2 N 1.94
Te  0.0000  0.5000  0.0000  2 I 3.10
Te  0.5000  0.0000  0.0000  2 I 3.10
N  0.5000  0.5000  0.5000  8 Te 3.65, 2 N 3.88
N  0.0000  0.0000  0.5000  2 I 1.94

# 13
# AcB2Ir

A relaxed structure of AcB2Ir (PBE, Alexandria).

Summary:
Volume (Å³ per cell): 126.16
Energy of formation from the pure elements (eV/atom): -0.337
Energy above the lowest structure with this stoichiometry (meV/atom): 0

Unit cell a=3.3643 b=6.9048 c=5.5965 alpha=90.00 beta=90.00 gamma=103.97
Last column: nearest neighbours and their distance in Å.
Atoms (fractional coordinates):
Ac  0.4191  0.8426  0.7500  6 B 2.90-3.08
Ac  0.5809  0.1574  0.2500  6 B 2.90-3.08
B  0.2434  0.4858  0.4035  1 B 1.72
B  0.7566  0.5142  0.5965  1 B 1.72
B  0.2434  0.4858  0.0965  1 B 1.72
B  0.7566  0.5142  0.9035  1 B 1.72
Ir  0.8343  0.6692  0.2500  6 B 2.20-2.25
Ir  0.1657  0.3308  0.7500  6 B 2.20-2.25

# 14
# RbCuF2

A relaxed structure of RbCuF2 (PBE, Alexandria).

Summary:
Volume (Å³ per cell): 159.74
Energy above the lowest structure with this stoichiometry (meV/atom): 198
E_form (uncorrected) (eV per atom): -1.720

Unit cell a=5.2123 b=5.2123 c=6.9395 alpha=67.94 beta=67.94 gamma=90.00
Last column: nearest neighbours and their distance in Å.
Atoms (fractional coordinates):
Cu  0.5000  0.5000  0.0000  4 F 2.09
Cu  0.2500  0.7500  0.5000  4 F 2.09
Rb  0.0000  0.0000  0.0000  4 F 2.72
Rb  0.7500  0.2500  0.5000  4 F 2.72
F  0.5127  0.1250  0.2500  2 Cu 2.09
F  0.2373  0.6250  0.2500  2 Cu 2.09
F  0.3750  0.4873  0.7500  2 Cu 2.09
F  0.8750  0.7627  0.7500  2 Cu 2.09

# 15
# KNaScV2

A relaxed structure of KNaScV2 (PBE, Alexandria).

Summary:
Volume (Å³ per cell): 141.47
Energy of formation from the pure elements (eV/atom): 1.857

Unit cell a=5.4035 b=4.8454 c=5.4035 alpha=90.00 beta=90.00 gamma=90.00
Last column: nearest neighbours and their distance in Å.
Atoms (fractional coordinates):
Sc  0.5000  0.5000  0.5000  8 V 3.63, 4 Na 3.82
Na  0.0000  0.5000  0.0000  2 K 2.42
K  0.0000  0.0000  0.0000  2 Na 2.42, 4 V 2.70
V  0.0000  0.0000  0.5000  2 K 2.70
V  0.5000  0.0000  0.0000  2 K 2.70

# 16
# Tb7Pm3Dy2

A relaxed structure of Tb7Pm3Dy2 (PBE, Alexandria).

Summary:
Volume (Å³ per cell): 393.37
Energy of formation from the pure elements (eV/atom): 0.080
Energy above the lowest structure with this stoichiometry (meV/atom): 0

Unit cell a=3.5394 b=6.3640 c=18.0270 alpha=75.64 beta=90.00 gamma=90.00
Last column: nearest neighbours and their distance in Å.
Atoms (fractional coordinates):
Tb  0.5000  0.2448  0.5012  2 Tb 3.13-3.24, 2 Dy 3.42
Tb  0.5000  0.7552  0.4988  2 Tb 3.13-3.24, 2 Dy 3.42
Tb  0.0000  0.5617  0.1664  2 Dy 3.49, 7 Tb 3.54-3.67, 3 Pm 3.59-3.69
Tb  0.0000  0.0000  0.0000  8 Tb 3.54-3.59, 4 Pm 3.64
Tb  0.0000  0.4383  0.8336  2 Dy 3.49, 7 Tb 3.54-3.67, 3 Pm 3.59-3.69
Tb  0.5000  0.9435  0.8330  1 Dy 3.50, 8 Tb 3.54-3.67, 3 Pm 3.58-3.68
Tb  0.5000  0.0565  0.1670  1 Dy 3.50, 8 Tb 3.54-3.67, 3 Pm 3.58-3.68
Pm  0.5000  0.5000  0.0000  2 Pm 3.54, 10 Tb 3.58-3.64
Pm  0.0000  0.1107  0.3406  2 Pm 3.54, 4 Dy 3.62-3.67, 7 Tb 3.63-3.69
Pm  0.0000  0.8893  0.6594  2 Pm 3.54, 4 Dy 3.62-3.67, 7 Tb 3.63-3.69
Dy  0.5000  0.6154  0.3274  5 Tb 3.42-3.50, 2 Dy 3.54, 4 Pm 3.62-3.67
Dy  0.5000  0.3846  0.6726  5 Tb 3.42-3.50, 2 Dy 3.54, 4 Pm 3.62-3.67

# 17
# NdLuRu

A relaxed structure of NdLuRu (PBE, Alexandria).

Summary:
Volume (Å³ per cell): 76.24
Energy of formation from the pure elements (eV/atom): -0.291
Energy above the lowest structure with this stoichiometry (meV/atom): 0

Unit cell a=3.4166 b=3.4166 c=6.9634 alpha=104.20 beta=104.20 gamma=90.00
Last column: nearest neighbours and their distance in Å.
Atoms (fractional coordinates):
Ru  0.6737  0.6737  0.3474  4 Lu 2.86, 4 Nd 3.01
Lu  0.2905  0.2905  0.5810  4 Ru 2.86
Nd  0.0358  0.0358  0.0716  4 Ru 3.01, 1 Lu 3.33

# 18
# Pr4MgSc

A relaxed structure of Pr4MgSc (PBE, Alexandria).

Summary:
Volume (Å³ per cell): 230.66
Energy of formation from the pure elements (eV/atom): 0.616
Energy above the lowest structure with this stoichiometry (meV/atom): 616

Unit cell a=5.6423 b=6.3951 c=6.3951 alpha=88.38 beta=90.00 gamma=90.00
Last column: nearest neighbours and their distance in Å.
Atoms (fractional coordinates):
Pr  0.5000  0.3232  0.6768  1 Sc 2.88, 1 Pr 3.15
Pr  0.0000  0.8274  0.8274  1 Mg 3.00, 1 Pr 3.17, 2 Sc 3.23-3.24
Pr  0.0000  0.1726  0.1726  1 Mg 3.00, 1 Pr 3.17, 2 Sc 3.23-3.24
Pr  0.5000  0.6768  0.3232  1 Sc 2.88, 1 Pr 3.15
Mg  0.0000  0.5000  0.5000  6 Pr 3.00-3.23
Sc  0.5000  0.0000  0.0000  2 Pr 2.88

# 19
# Ho2ErPb9

A relaxed structure of Ho2ErPb9 (PBE, Alexandria).

Summary:
Volume (Å³ per cell): 346.78
Energy of formation from the pure elements (eV/atom): -0.251

Unit cell a=4.8724 b=4.8724 c=14.6071 alpha=90.00 beta=90.00 gamma=90.00
Last column: nearest neighbours and their distance in Å.
Atoms (fractional coordinates):
Ho  0.0000  0.0000  0.3334  12 Pb 3.44-3.45
Ho  0.0000  0.0000  0.6666  12 Pb 3.44-3.45
Er  0.0000  0.0000  0.0000  12 Pb 3.44-3.45
Pb  0.5000  0.5000  0.0000  8 Pb 3.44, 4 Er 3.45
Pb  0.5000  0.5000  0.3332  4 Ho 3.45, 8 Pb 3.45
Pb  0.5000  0.5000  0.6668  4 Ho 3.45, 8 Pb 3.45
Pb  0.5000  0.0000  0.1663  8 Pb 3.44-3.45, 2 Er 3.44, 2 Ho 3.45
Pb  0.5000  0.0000  0.5000  4 Ho 3.44, 8 Pb 3.45
Pb  0.5000  0.0000  0.8337  8 Pb 3.44-3.45, 2 Er 3.44, 2 Ho 3.45
Pb  0.0000  0.5000  0.1663  8 Pb 3.44-3.45, 2 Er 3.44, 2 Ho 3.45
Pb  0.0000  0.5000  0.5000  4 Ho 3.44, 8 Pb 3.45
Pb  0.0000  0.5000  0.8337  8 Pb 3.44-3.45, 2 Er 3.44, 2 Ho 3.45

# 20
# TbDy2Er4

A relaxed structure of TbDy2Er4 (PBE, Alexandria).

Summary:
Volume (Å³ per cell): 215.54
Energy of formation from the pure elements (eV/atom): 0.005
Energy above the lowest structure with this stoichiometry (meV/atom): 0

Unit cell a=3.5453 b=3.5450 c=19.8032 alpha=90.00 beta=90.00 gamma=120.00
Last column: nearest neighbours and their distance in Å.
Atoms (fractional coordinates):
Tb  0.7143  0.4285  0.6660  6 Er 3.49-3.52, 6 Tb 3.55
Dy  0.7149  0.4298  0.0964  6 Er 3.47-3.50, 6 Dy 3.55
Dy  0.7140  0.4281  0.3809  6 Er 3.49, 6 Dy 3.55
Er  0.0483  0.0967  0.9528  9 Er 3.49-3.55, 3 Dy 3.50
Er  0.3806  0.7612  0.5234  3 Dy 3.49, 3 Tb 3.49, 6 Er 3.55
Er  0.0478  0.0956  0.2382  6 Dy 3.47-3.49, 6 Er 3.55
Er  0.3814  0.7629  0.8103  9 Er 3.49-3.55, 3 Tb 3.51-3.52